# 1
# ZnNi2Rh (PBE-GGA, optimized geometry)
data_ZnNi2Rh
_space_group_name_H-M_alt 'C 1 2/m 1'
_space_group_IT_number 12
_space_group_name_Hall '-C 2y'
_cell_length_a 8.591
_cell_length_b 2.680
_cell_length_c 4.435
_cell_angle_alpha 90.00
_cell_angle_beta 101.26
_cell_angle_gamma 90.00
loop_
_atom_site_label
_atom_site_type_symbol
_atom_site_fract_x
_atom_site_fract_y
_atom_site_fract_z
Zn1 Zn 0.000 0.000 0.000
Ni1 Ni 0.249 0.000 0.748
Rh1 Rh 0.000 0.500 0.500
# Energy of formation from the pure elements in eV/atom: -0.087
# Magnetization in μB/atom: 0.31
# Electronic total energy in Ha/atom: -0.1887


# 2
# Sc2GaCoSe (PBE-GGA, optimized geometry)
data_Sc2GaCoSe
_space_group_name_H-M_alt 'P 4/n m m'
_space_group_IT_number 129
_cell_length_a 3.928
_cell_length_b 3.928
_cell_length_c 11.727
_cell_angle_alpha 90.00
_cell_angle_beta 90.00
_cell_angle_gamma 90.00
loop_
_space_group_symop_operation_xyz
'x,y,z'
'-x,-y,-z'
'-y+1/2,x,z'
'y+1/2,-x,-z'
'-x+1/2,-y+1/2,z'
'x+1/2,y+1/2,-z'
'y,-x+1/2,z'
'-y,x+1/2,-z'
'x+1/2,-y,-z'
'-x+1/2,y,z'
'-y,-x,-z'
'y,x,z'
'-x,y+1/2,-z'
'x,-y+1/2,z'
'y+1/2,x+1/2,-z'
'-y+1/2,-x+1/2,z'
loop_
_atom_site_label
_atom_site_type_symbol
_atom_site_fract_x
_atom_site_fract_y
_atom_site_fract_z
Sc1 Sc 0.250 0.250 0.128
Sc2 Sc 0.250 0.250 0.659
Ga1 Ga 0.250 0.250 0.377
Co1 Co 0.250 0.750 0.500
Se1 Se 0.250 0.250 0.893
# Magnetization in μB/atom: 0.00
# Electronic total energy in Ha/atom: -0.2286
# Uncorrected formation energy in eV/atom: -0.97


# 3
# AlPHCl2 (PBE-GGA, optimized geometry)
data_AlPHCl2
_space_group_name_H-M_alt 'P 4/m m m'
_space_group_IT_number 123
_space_group_name_Hall '-P 4 2'
_cell_length_a 4.845
_cell_length_b 4.845
_cell_length_c 4.808
_cell_angle_alpha 90.00
_cell_angle_beta 90.00
_cell_angle_gamma 90.00
loop_
_atom_site_label
_atom_site_type_symbol
_atom_site_fract_x
_atom_site_fract_y
_atom_site_fract_z
Al1 Al 0.000 0.000 0.000
P1 P 0.000 0.000 0.500
H1 H 0.500 0.500 0.500
Cl1 Cl 0.000 0.500 0.000
# Relative energy among the computed polymorphs in kcal/mol of atoms: 0.00
# Magnetization in μB/atom: 0.60
# Electronic total energy in Ha/atom: -0.1113


# 4
# Pa2InNi9 (PBE-GGA, optimized geometry)
data_Pa2InNi9
_space_group_name_H-M_alt 'P 4/m m m'
_space_group_IT_number 123
_space_group_name_Hall '-P 4 2'
_cell_length_a 3.866
_cell_length_b 3.866
_cell_length_c 11.255
_cell_angle_alpha 90.00
_cell_angle_beta 90.00
_cell_angle_gamma 90.00
loop_
_atom_site_label
_atom_site_type_symbol
_atom_site_fract_x
_atom_site_fract_y
_atom_site_fract_z
Pa1 Pa 0.000 0.000 0.176
In1 In 0.000 0.000 0.500
Ni1 Ni 0.000 0.500 0.000
Ni2 Ni 0.000 0.500 0.334
Ni3 Ni 0.500 0.500 0.165
Ni4 Ni 0.500 0.500 0.500
# Relative energy among the computed polymorphs in kcal/mol of atoms: 0.00
# Energy of formation from the pure elements in eV/atom: -0.295
# Magnetization in μB/atom: 0.00
# Electronic total energy in Ha/atom: -0.2367


# 5
# Cd4HgPb (PBE-GGA, optimized geometry)
data_Cd4HgPb
_space_group_name_H-M_alt 'C 1 2/c 1'
_space_group_IT_number 15
_space_group_name_Hall '-C 2yc'
_cell_length_a 19.366
_cell_length_b 5.740
_cell_length_c 5.657
_cell_angle_alpha 90.00
_cell_angle_beta 105.13
_cell_angle_gamma 90.00
loop_
_atom_site_label
_atom_site_type_symbol
_atom_site_fract_x
_atom_site_fract_y
_atom_site_fract_z
Cd1 Cd 0.088 0.182 0.333
Cd2 Cd 0.171 0.286 0.922
Hg1 Hg 0.250 0.250 0.500
Pb1 Pb 0.000 0.326 0.750
# Relative energy among the computed polymorphs in kcal/mol of atoms: 0.00
# Energy of formation from the pure elements in eV/atom: 0.040
# Magnetization in μB/atom: 0.00
# Electronic total energy in Ha/atom: -0.0455


# 6
# MgAl2GeN4 (PBE-GGA, optimized geometry)
data_MgAl2GeN4
_space_group_name_H-M_alt 'I -4 2 m'
_space_group_IT_number 121
_space_group_name_Hall 'I -4 2'
_cell_length_a 4.537
_cell_length_b 4.537
_cell_length_c 8.797
_cell_angle_alpha 90.00
_cell_angle_beta 90.00
_cell_angle_gamma 90.00
loop_
_atom_site_label
_atom_site_type_symbol
_atom_site_fract_x
_atom_site_fract_y
_atom_site_fract_z
Mg1 Mg 0.000 0.000 0.000
Al1 Al 0.000 0.500 0.250
Ge1 Ge 0.000 0.000 0.500
N1 N 0.232 0.232 0.368
# Magnetization in μB/atom: 0.00
# Electronic total energy in Ha/atom: -0.2513
# Uncorrected formation energy in eV/atom: -0.96


# 7
# Mg2HgSb2 (PBE-GGA, optimized geometry)
data_Mg2HgSb2
_space_group_name_H-M_alt 'I 4/m m m'
_space_group_IT_number 139
_space_group_name_Hall '-I 4 2'
_cell_length_a 5.180
_cell_length_b 5.180
_cell_length_c 10.891
_cell_angle_alpha 90.00
_cell_angle_beta 90.00
_cell_angle_gamma 90.00
loop_
_atom_site_label
_atom_site_type_symbol
_atom_site_fract_x
_atom_site_fract_y
_atom_site_fract_z
Mg1 Mg 0.000 0.500 0.250
Hg1 Hg 0.000 0.000 0.000
Sb1 Sb 0.000 0.000 0.371
# Relative energy among the computed polymorphs in kcal/mol of atoms: 0.00
# Magnetization in μB/atom: 0.00
# Electronic total energy in Ha/atom: -0.0936
# Uncorrected formation energy in eV/atom: -0.20


# 8
# K2SmPuTe4 (PBE-GGA, optimized geometry)
data_K2SmPuTe4
_space_group_name_H-M_alt 'P 1 2/m 1'
_space_group_IT_number 10
_space_group_name_Hall '-P 2y'
_cell_length_a 7.934
_cell_length_b 4.579
_cell_length_c 8.630
_cell_angle_alpha 90.00
_cell_angle_beta 107.91
_cell_angle_gamma 90.00
loop_
_atom_site_label
_atom_site_type_symbol
_atom_site_fract_x
_atom_site_fract_y
_atom_site_fract_z
K1 K 0.000 0.000 0.000
K2 K 0.500 0.500 0.000
Sm1 Sm 0.000 0.500 0.500
Pu1 Pu 0.500 0.000 0.500
Te1 Te 0.237 0.000 0.712
Te2 Te 0.265 0.500 0.291
# Magnetization in μB/atom: 0.62
# Electronic total energy in Ha/atom: -0.2014
# Uncorrected formation energy in eV/atom: -1.25


# 9
# Li2HoGaSe4 (PBE-GGA, optimized geometry)
data_Li2HoGaSe4
_space_group_name_H-M_alt 'I m m a'
_space_group_IT_number 74
_space_group_name_Hall '-I 2b 2'
_cell_length_a 7.674
_cell_length_b 8.052
_cell_length_c 11.178
_cell_angle_alpha 90.00
_cell_angle_beta 90.00
_cell_angle_gamma 90.00
loop_
_atom_site_label
_atom_site_type_symbol
_atom_site_fract_x
_atom_site_fract_y
_atom_site_fract_z
Li1 Li 0.000 0.000 0.000
Li2 Li 0.250 0.250 0.250
Ho1 Ho 0.000 0.000 0.500
Ga1 Ga 0.250 0.250 0.750
Se1 Se 0.000 0.028 0.756
Se2 Se 0.243 0.250 0.005
# Magnetization in μB/atom: 0.00
# Electronic total energy in Ha/atom: -0.1599
# Uncorrected formation energy in eV/atom: -1.18


# 10
# Nd8C3Br3N (PBE-GGA, optimized geometry)
data_Nd8C3Br3N
_space_group_name_H-M_alt 'R -3 m'
_space_group_IT_number 166
_space_group_name_Hall '-R 3 2"'
_cell_length_a 7.5764
_cell_length_b 7.5764
_cell_length_c 21.9657
_cell_angle_alpha 90.00
_cell_angle_beta 90.00
_cell_angle_gamma 120.00
loop_
_atom_site_label
_atom_site_type_symbol
_atom_site_fract_x
_atom_site_fract_y
_atom_site_fract_z
Nd1 Nd 0.0000 0.0000 0.2288
Nd2 Nd 0.9998 0.4999 0.2287
C1 C 0.0000 0.5000 0.5000
Br1 Br 0.0000 0.5000 0.0000
N1 N 0.0000 0.0000 0.5000
# Magnetization in μB/atom: 0.05
# Electronic total energy in Ha/atom: -0.2251
# Uncorrected formation energy in eV/atom: -0.85


# 11
# Pr4Si2H (PBE-GGA, optimized geometry)
data_Pr4Si2H
_space_group_name_H-M_alt 'I 4/m m m'
_space_group_IT_number 139
_space_group_name_Hall '-I 4 2'
_cell_length_a 4.531
_cell_length_b 4.531
_cell_length_c 17.194
_cell_angle_alpha 90.00
_cell_angle_beta 90.00
_cell_angle_gamma 90.00
loop_
_atom_site_label
_atom_site_type_symbol
_atom_site_fract_x
_atom_site_fract_y
_atom_site_fract_z
Pr1 Pr 0.000 0.000 0.177
Pr2 Pr 0.000 0.500 0.000
Si1 Si 0.000 0.000 0.357
H1 H 0.000 0.000 0.500
# Relative energy among the computed polymorphs in kcal/mol of atoms: 2.66
# Magnetization in μB/atom: 0.00
# Electronic total energy in Ha/atom: -0.1885


# 12
# LaBeGe2Ru2 (PBE-GGA, optimized geometry)
data_LaBeGe2Ru2
_space_group_name_H-M_alt 'P 4/m m m'
_space_group_IT_number 123
_space_group_name_Hall '-P 4 2'
_cell_length_a 4.298
_cell_length_b 4.298
_cell_length_c 5.580
_cell_angle_alpha 90.00
_cell_angle_beta 90.00
_cell_angle_gamma 90.00
loop_
_atom_site_label
_atom_site_type_symbol
_atom_site_fract_x
_atom_site_fract_y
_atom_site_fract_z
La1 La 0.000 0.000 0.000
Be1 Be 0.000 0.000 0.500
Ge1 Ge 0.500 0.500 0.240
Ru1 Ru 0.000 0.500 0.500
# Energy of formation from the pure elements in eV/atom: -0.519
# Magnetization in μB/atom: 0.00
# Electronic total energy in Ha/atom: -0.2423